Record 1
{"formula": "ScCd2RhO6", "functional": "PBE-GGA", "state": "optimized geometry", "lattice": [[5.4911, 0.0000, 0.0000], [0.0000, 5.5818, 0.0000], [-5.4864, 0.0000, 7.8693]], "species": ["Sc", "Sc", "Cd", "Cd", "Cd", "Cd", "Rh", "Rh", "O", "O", "O", "O", "O", "O", "O", "O", "O", "O", "O", "O"], "fractional_positions": [[0.0000, 0.0000, 0.0000], [0.0000, 0.5000, 0.5000], [0.2581, 0.0455, 0.7492], [0.2581, 0.4545, 0.2492], [0.7419, 0.5455, 0.7508], [0.7419, 0.9545, 0.2508], [0.5000, 0.0000, 0.5000], [0.5000, 0.5000, 0.0000], [0.1549, 0.0418, 0.2586], [0.1549, 0.4582, 0.7586], [0.2578, 0.6911, 0.0538], [0.2578, 0.8089, 0.5538], [0.3708, 0.2065, 0.0560], [0.3708, 0.2935, 0.5560], [0.6292, 0.7065, 0.4440], [0.6292, 0.7935, 0.9440], [0.7422, 0.1911, 0.4462], [0.7422, 0.3089, 0.9462], [0.8451, 0.5418, 0.2414], [0.8451, 0.9582, 0.7414]], "sg": "P2_1/c (14)"}

=====

Record 2
{"formula": "CdSi2RhO6", "functional": "PBE-GGA", "state": "optimized geometry", "lattice": [[5.2515, -4.7673, 0.0000], [5.2515, 4.7673, 0.0000], [-1.9397, 0.0000, 5.1147]], "species": ["Cd", "Cd", "Si", "Si", "Si", "Si", "Rh", "Rh", "O", "O", "O", "O", "O", "O", "O", "O", "O", "O", "O", "O"], "fractional_positions": [[0.1073, 0.8927, 0.7500], [0.8927, 0.1073, 0.2500], [0.2059, 0.3741, 0.8181], [0.3741, 0.2059, 0.3181], [0.6259, 0.7941, 0.6819], [0.7941, 0.6259, 0.1819], [0.2723, 0.7277, 0.2500], [0.7277, 0.2723, 0.7500], [0.0307, 0.2169, 0.6905], [0.1387, 0.6032, 0.8617], [0.2169, 0.0307, 0.1905], [0.3220, 0.3590, 0.1219], [0.3590, 0.3220, 0.6219], [0.3968, 0.8613, 0.6383], [0.6032, 0.1387, 0.3617], [0.6410, 0.6780, 0.3781], [0.6780, 0.6410, 0.8781], [0.7831, 0.9693, 0.8095], [0.8613, 0.3968, 0.1383], [0.9693, 0.7831, 0.3095]], "sg": "C2/c (15)"}

=====

Record 3
{"formula": "Sm2CdRhO6", "functional": "PBE-GGA", "state": "optimized geometry", "lattice": [[5.5307, 0.0000, 0.0000], [0.0000, 5.9642, 0.0000], [-5.5041, 0.0000, 8.0421]], "species": ["Sm", "Sm", "Sm", "Sm", "Cd", "Cd", "Rh", "Rh", "O", "O", "O", "O", "O", "O", "O", "O", "O", "O", "O", "O"], "fractional_positions": [[0.2225, 0.0727, 0.2473], [0.2225, 0.4273, 0.7473], [0.7775, 0.5727, 0.2527], [0.7775, 0.9273, 0.7527], [0.0000, 0.0000, 0.5000], [0.0000, 0.5000, 0.0000], [0.5000, 0.0000, 0.0000], [0.5000, 0.5000, 0.5000], [0.1398, 0.1771, 0.9401], [0.1398, 0.3229, 0.4401], [0.2576, 0.7109, 0.9244], [0.2576, 0.7891, 0.4244], [0.4016, 0.0590, 0.7681], [0.4016, 0.4410, 0.2681], [0.5984, 0.5589, 0.7319], [0.5984, 0.9410, 0.2319], [0.7424, 0.2109, 0.5756], [0.7424, 0.2891, 0.0756], [0.8602, 0.6771, 0.5599], [0.8602, 0.8229, 0.0599]], "sg": "P2_1/c (14)"}

=====

Number 1: formation energy (no corrections) -1.459 eV per atom. Number 2: formation energy (no corrections) -1.814 eV per atom. Number 3: formation energy (no corrections) -2.121 eV per atom.